No. 1
A plane-wave DFT calculation with PBE was carried out for PmNdGaSi after structural relaxation.

The total magnetization is 0.4 μB per cell. For the calculated total energy, the calculation gives -5.1991 eV/atom.

The space group is Amm2 (No. 38) and the conventional cell measures 4.0535, 4.4374 and 11.1514 Å, with angles of 90.00, 90.00 and 90.00 degrees. The inequivalent atoms are Pm at (0.0000, 0.0000, 0.0000), Nd at (0.5000, 0.0000, 0.7176), Ga at (0.5000, 0.0000, 0.4305) and Si at (0.0000, 0.0000, 0.2876).

=====

No. 2
A plane-wave DFT calculation with PBE was carried out for Pm2Nd2Ga4Si after structural relaxation.

The total magnetization is 0.0 μB per cell. For the calculated total energy, the calculation gives -4.4091 eV/atom.

The space group is I4/mmm (No. 139) and the conventional cell measures 7.1071, 7.1071 and 8.8931 Å, with angles of 90.00, 90.00 and 90.00 degrees. The inequivalent atoms are Pm at (0.0000, 0.0000, 0.1920), Nd at (0.0000, 0.5000, 0.2500), Ga at (0.2429, 0.2429, 0.5000) and Si at (0.0000, 0.0000, 0.5000).

=====

No. 3
A plane-wave DFT calculation with PBE was carried out for TbPmNdGa after structural relaxation.

The total magnetization is 5.1 μB per cell. The value obtained for the formation enthalpy at 0 K is -0.23 eV per formula unit.

The space group is F-43m (No. 216) and the conventional cell measures 7.6740, 7.6740 and 7.6740 Å, with angles of 90.00, 90.00 and 90.00 degrees. The inequivalent atoms are Tb at (0.0000, 0.0000, 0.0000), Pm at (0.2500, 0.2500, 0.2500), Nd at (0.0000, 0.0000, 0.5000) and Ga at (0.2500, 0.2500, 0.7500).

=====

No. 4
A plane-wave DFT calculation with PBE was carried out for PmNdGaTc after structural relaxation.

The total magnetization is 0.0 μB per cell. The value obtained for the formation enthalpy at 0 K is -0.37 eV per formula unit.

The space group is F-43m (No. 216) and the conventional cell measures 7.2111, 7.2111 and 7.2111 Å, with angles of 90.00, 90.00 and 90.00 degrees. The inequivalent atoms are Pm at (0.0000, 0.0000, 0.0000), Nd at (0.0000, 0.0000, 0.5000), Ga at (0.2500, 0.2500, 0.7500) and Tc at (0.2500, 0.2500, 0.2500).

=====

No. 5
A plane-wave DFT calculation with PBE was carried out for Pm3Nd3Tl2Ga after structural relaxation.

The total magnetization is 0.0 μB per cell. The value obtained for the formation enthalpy at 0 K is -2.79 eV per formula unit.

The space group is P-62m (No. 189) and the conventional cell measures 9.0382, 9.0382 and 3.8678 Å, with angles of 90.00, 90.00 and 120.00 degrees. The inequivalent atoms are Pm at (0.0000, 0.2676, 0.0000), Nd at (0.0000, 0.6104, 0.5000), Tl at (0.3333, 0.6667, 0.0000) and Ga at (0.0000, 0.0000, 0.5000).

=====

No. 6
A plane-wave DFT calculation with PBE was carried out for Pm3Nd3TlGa2 after structural relaxation.

The total magnetization is 0.0 μB per cell. The value obtained for the formation enthalpy at 0 K is -2.77 eV per formula unit.

The space group is P-62m (No. 189) and the conventional cell measures 8.9195, 8.9195 and 3.8335 Å, with angles of 90.00, 90.00 and 120.00 degrees. The inequivalent atoms are Pm at (0.0000, 0.3907, 0.0000), Nd at (0.0000, 0.7070, 0.5000), Tl at (0.0000, 0.0000, 0.0000) and Ga at (0.3333, 0.6667, 0.5000).

=====

No. 7
A plane-wave DFT calculation with PBE was carried out for PmNdTmGa after structural relaxation.

The total magnetization is 0.0 μB per cell. The value obtained for the formation enthalpy at 0 K is -0.44 eV per formula unit.

The space group is F-43m (No. 216) and the conventional cell measures 7.6374, 7.6374 and 7.6374 Å, with angles of 90.00, 90.00 and 90.00 degrees. The inequivalent atoms are Pm at (0.0000, 0.0000, 0.0000), Nd at (0.0000, 0.0000, 0.5000), Tm at (0.2500, 0.2500, 0.2500) and Ga at (0.2500, 0.2500, 0.7500).

=====

No. 8
A plane-wave DFT calculation with PBE was carried out for PmNdYGa after structural relaxation.

The total magnetization is 5.5 μB per cell. The value obtained for the formation enthalpy at 0 K is -0.25 eV per formula unit.

The space group is F-43m (No. 216) and the conventional cell measures 7.6774, 7.6774 and 7.6774 Å, with angles of 90.00, 90.00 and 90.00 degrees. The inequivalent atoms are Pm at (0.0000, 0.0000, 0.0000), Nd at (0.2500, 0.2500, 0.7500), Y at (0.2500, 0.2500, 0.2500) and Ga at (0.0000, 0.0000, 0.5000).

=====

No. 9
A plane-wave DFT calculation with PBE was carried out for Pm2NdZn2Ga2 after structural relaxation.

The total magnetization is 0.0 μB per cell. The value obtained for the formation enthalpy at 0 K is -2.83 eV per formula unit.

The space group is R-3m (No. 166, hexagonal axes) and the conventional cell measures 4.5036, 4.5036 and 28.6087 Å, with angles of 90.00, 90.00 and 120.00 degrees. The inequivalent atoms are Pm at (0.0000, 0.0000, 0.1273), Nd at (0.0000, 0.0000, 0.0000), Zn at (0.0000, 0.0000, 0.4003) and Ga at (0.0000, 0.0000, 0.2633).

=====

No. 10
A plane-wave DFT calculation with PBE was carried out for PrNd3Ga4 after structural relaxation.

The total magnetization is 0.0 μB per cell. The value obtained for the formation enthalpy at 0 K is -3.40 eV per formula unit.

The space group is Immm (No. 71) and the conventional cell measures 3.7128, 6.9767 and 17.1733 Å, with angles of 90.00, 90.00 and 90.00 degrees. The inequivalent atoms are Pr at (0.0000, 0.0000, 0.0000), Nd at (0.0000, 0.0000, 0.5000), Nd at (0.0000, 0.5000, 0.2981) and Ga at (0.0000, 0.3117, 0.1305).

=====

No. 11
A plane-wave DFT calculation with PBE was carried out for PrNdGa after structural relaxation.

The total magnetization is 0.0 μB per cell. The value obtained for the formation enthalpy at 0 K is -0.79 eV per formula unit.

The space group is P3m1 (No. 156) and the conventional cell measures 5.0225, 5.0225 and 3.9049 Å, with angles of 90.00, 90.00 and 120.00 degrees. The inequivalent atoms are Pr at (0.0000, 0.0000, 0.0000), Nd at (0.6667, 0.3333, 0.5812) and Ga at (0.3333, 0.6667, 0.3037).

=====

No. 12
A plane-wave DFT calculation with PBE was carried out for Pr2NdGa2 after structural relaxation.

The total magnetization is 0.0 μB per cell. The value obtained for the formation enthalpy at 0 K is -2.31 eV per formula unit.

The space group is Immm (No. 71) and the conventional cell measures 4.8139, 6.8443 and 8.5102 Å, with angles of 90.00, 90.00 and 90.00 degrees. The inequivalent atoms are Pr at (0.0000, 0.0000, 0.1978), Nd at (0.0000, 0.5000, 0.0000) and Ga at (0.0000, 0.3020, 0.5000).

=====

No. 13
A plane-wave DFT calculation with PBE was carried out for Pr4NdGa after structural relaxation.

The total magnetization is 0.0 μB per cell. The value obtained for the formation enthalpy at 0 K is -0.64 eV per formula unit.

The space group is C2/c (No. 15) and the conventional cell measures 9.2018, 13.9386 and 6.5337 Å, with angles of 90.00, 109.40 and 90.00 degrees. The inequivalent atoms are Pr at (0.1030, 0.1794, 0.0533), Pr at (0.2235, 0.3948, 0.3732), Nd at (0.0000, 0.4007, 0.7500) and Ga at (0.0000, 0.0009, 0.7500).

=====

No. 14
A plane-wave DFT calculation with PBE was carried out for Pr8NdGa2 after structural relaxation.

The total magnetization is 0.0 μB per cell. The value obtained for the formation enthalpy at 0 K is -1.26 eV per formula unit.

The space group is C2/m (No. 12) and the conventional cell measures 16.2939, 6.9867 and 6.3868 Å, with angles of 90.00, 94.61 and 90.00 degrees. The inequivalent atoms are Pr at (0.0883, 0.0000, 0.4018), Pr at (0.1066, 0.2448, 0.9196), Pr at (0.2143, 0.5000, 0.3499), Nd at (0.0000, 0.5000, 0.5000) and Ga at (0.2447, 0.0000, 0.1593).

=====

No. 15
A plane-wave DFT calculation with PBE was carried out for Pr2Nd3Ga4 after structural relaxation.

The total magnetization is 0.0 μB per cell. The value obtained for the formation enthalpy at 0 K is -4.66 eV per formula unit.

The space group is P2_1/c (No. 14) and the conventional cell measures 8.2666, 8.2604 and 7.6485 Å, with angles of 90.00, 105.82 and 90.00 degrees. The inequivalent atoms are Pr at (0.1885, 0.1839, 0.0728), Nd at (0.2359, 0.6757, 0.2526), Nd at (0.5000, 0.0000, 0.5000), Ga at (0.0795, 0.5296, 0.8684) and Ga at (0.4889, 0.1212, 0.8834).

=====

No. 16
A plane-wave DFT calculation with PBE was carried out for PrNdGa after structural relaxation.

The total magnetization is 0.0 μB per cell. The value obtained for the formation enthalpy at 0 K is -0.72 eV per formula unit.

The space group is F-43m (No. 216) and the conventional cell measures 7.2540, 7.2540 and 7.2540 Å, with angles of 90.00, 90.00 and 90.00 degrees. The inequivalent atoms are Pr at (0.0000, 0.0000, 0.0000), Nd at (0.0000, 0.0000, 0.5000) and Ga at (0.2500, 0.2500, 0.7500).

=====

No. 17
A plane-wave DFT calculation with PBE was carried out for PrNdGa6 after structural relaxation.

The total magnetization is 0.0 μB per cell. The value obtained for the formation enthalpy at 0 K is -4.62 eV per formula unit.

The space group is P-6m2 (No. 187) and the conventional cell measures 6.4832, 6.4832 and 4.6110 Å, with angles of 90.00, 90.00 and 120.00 degrees. The inequivalent atoms are Pr at (0.0000, 0.0000, 0.0000), Nd at (0.3333, 0.6667, 0.5000), Ga at (0.3827, 0.1913, 0.5000) and Ga at (0.5240, 0.0480, 0.0000).

=====

No. 18
A plane-wave DFT calculation with PBE was carried out for Pr4NdGa after structural relaxation.

The total magnetization is 0.0 μB per cell. The value obtained for the formation enthalpy at 0 K is -0.95 eV per formula unit.

The space group is P4/mmm (No. 123) and the conventional cell measures 3.6999, 3.6999 and 14.3583 Å, with angles of 90.00, 90.00 and 90.00 degrees. The inequivalent atoms are Pr at (0.0000, 0.0000, 0.1302), Pr at (0.5000, 0.5000, 0.3177), Nd at (0.0000, 0.0000, 0.5000) and Ga at (0.5000, 0.5000, 0.0000).

=====

No. 19
A plane-wave DFT calculation with PBE was carried out for Pr2NdGa4 after structural relaxation.

The total magnetization is 0.0 μB per cell. The value obtained for the formation enthalpy at 0 K is -4.40 eV per formula unit.

The space group is Immm (No. 71) and the conventional cell measures 4.2367, 4.4140 and 18.9493 Å, with angles of 90.00, 90.00 and 90.00 degrees. The inequivalent atoms are Pr at (0.0000, 0.0000, 0.1839), Nd at (0.0000, 0.5000, 0.5000), Ga at (0.0000, 0.0000, 0.3594) and Ga at (0.0000, 0.5000, 0.0652).

=====

No. 20
A plane-wave DFT calculation with PBE was carried out for Pr2Nd3Ga3 after structural relaxation.

The total magnetization is 0.0 μB per cell. The value obtained for the formation enthalpy at 0 K is -3.17 eV per formula unit.

The space group is Immm (No. 71) and the conventional cell measures 3.7852, 5.2886 and 22.4510 Å, with angles of 90.00, 90.00 and 90.00 degrees. The inequivalent atoms are Pr at (0.0000, 0.0000, 0.2264), Nd at (0.0000, 0.0000, 0.0000), Nd at (0.0000, 0.5000, 0.1142), Ga at (0.0000, 0.0000, 0.5000) and Ga at (0.0000, 0.5000, 0.3840).